CdTe2W: optimized geometry, PBE.

## Properties
DOS(E_F) (states/eV/cell): 1.7
ΔE_f (raw) (kJ per mole of atoms): 21.3
Uncorrected energy (Ha/atom): -0.1770

Structure (CIF):
```
data_CdTe2W
_chemical_formula_sum 'Cd1 Te2 W1'
_cell_length_a 3.295
_cell_length_b 3.295
_cell_length_c 9.682
_cell_angle_alpha 90.00
_cell_angle_beta 90.00
_cell_angle_gamma 90.00
_space_group_name_H-M_alt 'P 1'
_space_group_IT_number 1
loop_
_space_group_symop_operation_xyz
'x,y,z'
loop_
_atom_site_label
_atom_site_type_symbol
_atom_site_fract_x
_atom_site_fract_y
_atom_site_fract_z
_atom_site_occupancy
Cd1 Cd 0.000 0.000 0.000 1
Te1 Te 0.500 0.500 0.327 1
Te2 Te 0.500 0.500 0.673 1
W1 W 0.000 0.000 0.500 1
```